1.
This record from Alexandria via LeMat-Bulk describes a relaxed structure of Ba2TaZn. The functional is GGA-PBE.

```
data_Ba2TaZn
_chemical_formula_sum 'Ba8 Ta4 Zn4'
_cell_length_a 4.5759
_cell_length_b 4.5759
_cell_length_c 22.9722
_cell_angle_alpha 90.00
_cell_angle_beta 90.00
_cell_angle_gamma 90.00
_space_group_name_H-M_alt 'I -4 2 d'
_space_group_IT_number 122
_space_group_name_Hall 'I -4 2bw'
loop_
_atom_site_label
_atom_site_type_symbol
_atom_site_fract_x
_atom_site_fract_y
_atom_site_fract_z
Ba1 Ba 0.2478 0.2500 0.1250
Ta1 Ta 0.0000 0.0000 0.0000
Zn1 Zn 0.0000 0.0000 0.5000
```

Crystal system: tetragonal
M_tot: 0.0 μB per cell
Electronic total energy: -48.36 eV/cell
ΔE_f: 117.8 kJ per mole of atoms

2.
This record from Alexandria via LeMat-Bulk describes a relaxed structure of Li3CuH. The functional is GGA-PBE.

```
data_Li3CuH
_chemical_formula_sum 'Li3 Cu1 H1'
_cell_length_a 3.8956
_cell_length_b 3.8956
_cell_length_c 3.8956
_cell_angle_alpha 90.00
_cell_angle_beta 90.00
_cell_angle_gamma 90.00
_space_group_name_H-M_alt 'P m -3 m'
_space_group_IT_number 221
_space_group_name_Hall '-P 4 2 3'
loop_
_atom_site_label
_atom_site_type_symbol
_atom_site_fract_x
_atom_site_fract_y
_atom_site_fract_z
Li1 Li 0.0000 0.0000 0.5000
Cu1 Cu 0.5000 0.5000 0.5000
H1 H 0.0000 0.0000 0.0000
```

Crystal system: cubic
E above lowest polymorph: 0.0 kJ/mol of atoms
M_tot: 0.0 μB per cell
Electronic total energy: -13.69 eV/cell

3.
This record from Alexandria via LeMat-Bulk describes a relaxed structure of ErSc3Ag2. The functional is GGA-PBE.

```
data_ErSc3Ag2
_chemical_formula_sum 'Er2 Sc6 Ag4'
_cell_length_a 4.8007
_cell_length_b 8.6186
_cell_length_c 6.6688
_cell_angle_alpha 90.00
_cell_angle_beta 90.00
_cell_angle_gamma 90.00
_space_group_name_H-M_alt 'P m c 21'
_space_group_IT_number 26
loop_
_space_group_symop_operation_xyz
'x,y,z'
'-x,-y,z+1/2'
'-x,y,z'
'x,-y,z+1/2'
loop_
_atom_site_label
_atom_site_type_symbol
_atom_site_fract_x
_atom_site_fract_y
_atom_site_fract_z
Er1 Er 0.0000 0.0611 0.0000
Sc1 Sc 0.0000 0.3302 0.6352
Sc2 Sc 0.5000 0.1822 0.3272
Sc3 Sc 0.5000 0.4413 0.9609
Ag1 Ag 0.0000 0.3557 0.2219
Ag2 Ag 0.5000 0.1503 0.7397
```

Crystal system: orthorhombic
E above lowest polymorph: 0.0 kJ/mol of atoms
M_tot: 0.0 μB per cell
Electronic total energy: -60.77 eV/cell
ΔE_f: -18.1 kJ per mole of atoms

4.
This record from Alexandria via LeMat-Bulk describes a relaxed structure of Li2UPbSe4. The functional is GGA-PBE.

```
data_Li2UPbSe4
_chemical_formula_sum 'Li2 U1 Pb1 Se4'
_cell_length_a 6.9141
_cell_length_b 4.1367
_cell_length_c 7.3971
_cell_angle_alpha 90.00
_cell_angle_beta 110.65
_cell_angle_gamma 90.00
_space_group_name_H-M_alt 'P 1 2/m 1'
_space_group_IT_number 10
loop_
_space_group_symop_operation_xyz
'x,y,z'
'-x,-y,-z'
'-x,y,-z'
'x,-y,z'
loop_
_atom_site_label
_atom_site_type_symbol
_atom_site_fract_x
_atom_site_fract_y
_atom_site_fract_z
Li1 Li 0.0000 0.0000 0.0000
Li2 Li 0.0000 0.5000 0.5000
U1 U 0.5000 0.0000 0.5000
Pb1 Pb 0.5000 0.5000 0.0000
Se1 Se 0.2410 0.0000 0.7180
Se2 Se 0.2435 0.5000 0.2607
```

Crystal system: monoclinic
Formation energy without anion corrections: -1.024 eV per atom
M_tot: 2.0 μB per cell
Electronic total energy: -40.96 eV/cell

5.
This record from Alexandria via LeMat-Bulk describes a relaxed structure of BaCuAu2. The functional is GGA-PBE.

```
data_BaCuAu2
_chemical_formula_sum 'Ba1 Cu1 Au2'
_cell_length_a 3.7099
_cell_length_b 3.7099
_cell_length_c 7.0432
_cell_angle_alpha 90.00
_cell_angle_beta 90.00
_cell_angle_gamma 90.00
_space_group_name_H-M_alt 'P 4 m m'
_space_group_IT_number 99
loop_
_space_group_symop_operation_xyz
'x,y,z'
'-y,x,z'
'-x,-y,z'
'y,-x,z'
'-x,y,z'
'y,x,z'
'x,-y,z'
'-y,-x,z'
loop_
_atom_site_label
_atom_site_type_symbol
_atom_site_fract_x
_atom_site_fract_y
_atom_site_fract_z
Ba1 Ba 0.0000 0.0000 0.0000
Cu1 Cu 0.5000 0.5000 0.3604
Au1 Au 0.0000 0.0000 0.4561
Au2 Au 0.5000 0.5000 0.7225
```

Crystal system: tetragonal
E above lowest polymorph: 26.5 kJ/mol of atoms
M_tot: 0.0 μB per cell
Electronic total energy: -13.25 eV/cell
ΔE_f: -16.2 kJ per mole of atoms

6.
This record from Alexandria via LeMat-Bulk describes a relaxed structure of ZrCdIn2. The functional is GGA-PBE.

```
data_ZrCdIn2
_chemical_formula_sum 'Zr2 Cd2 In4'
_cell_length_a 3.3318
_cell_length_b 5.6426
_cell_length_c 10.1477
_cell_angle_alpha 90.00
_cell_angle_beta 90.00
_cell_angle_gamma 90.00
_space_group_name_H-M_alt 'C m m m'
_space_group_IT_number 65
_space_group_name_Hall '-C 2 2'
loop_
_atom_site_label
_atom_site_type_symbol
_atom_site_fract_x
_atom_site_fract_y
_atom_site_fract_z
Zr1 Zr 0.0000 0.0000 0.0000
Cd1 Cd 0.0000 0.0000 0.5000
In1 In 0.0000 0.5000 0.2488
```

Crystal system: orthorhombic
M_tot: 0.0 μB per cell
Electronic total energy: -29.91 eV/cell
ΔE_f: -0.4 kJ per mole of atoms

7.
This record from Alexandria via LeMat-Bulk describes a relaxed structure of Ru2AuI. The functional is GGA-PBE.

```
data_Ru2AuI
_chemical_formula_sum 'Ru8 Au4 I4'
_cell_length_a 6.4992
_cell_length_b 6.4992
_cell_length_c 6.4992
_cell_angle_alpha 90.00
_cell_angle_beta 90.00
_cell_angle_gamma 90.00
_space_group_name_H-M_alt 'F m -3 m'
_space_group_IT_number 225
_space_group_name_Hall '-F 4 2 3'
loop_
_atom_site_label
_atom_site_type_symbol
_atom_site_fract_x
_atom_site_fract_y
_atom_site_fract_z
Ru1 Ru 0.2500 0.2500 0.2500
Au1 Au 0.0000 0.0000 0.0000
I1 I 0.0000 0.0000 0.5000
```

Crystal system: cubic
Formation energy without anion corrections: 0.868 eV per atom
E above lowest polymorph: 0.0 kJ/mol of atoms
M_tot: 0.0 μB per cell
Electronic total energy: -79.63 eV/cell

8.
This record from Alexandria via LeMat-Bulk describes a relaxed structure of TaTl2Br. The functional is GGA-PBE.

```
data_TaTl2Br
_chemical_formula_sum 'Ta2 Tl4 Br2'
_cell_length_a 3.0930
_cell_length_b 4.6713
_cell_length_c 14.7308
_cell_angle_alpha 90.00
_cell_angle_beta 90.00
_cell_angle_gamma 90.00
_space_group_name_H-M_alt 'I m m m'
_space_group_IT_number 71
_space_group_name_Hall '-I 2 2'
loop_
_atom_site_label
_atom_site_type_symbol
_atom_site_fract_x
_atom_site_fract_y
_atom_site_fract_z
Ta1 Ta 0.0000 0.0000 0.0000
Tl1 Tl 0.0000 0.5000 0.3147
Br1 Br 0.0000 0.0000 0.5000
```

Crystal system: orthorhombic
Formation energy without anion corrections: 0.463 eV per atom
E above lowest polymorph: 38.5 kJ/mol of atoms
M_tot: 1.7 μB per cell
Electronic total energy: -32.81 eV/cell

9.
This record from Alexandria via LeMat-Bulk describes a relaxed structure of PuAsPb. The functional is GGA-PBE.

```
data_PuAsPb
_chemical_formula_sum 'Pu4 As4 Pb4'
_cell_length_a 12.6220
_cell_length_b 5.0072
_cell_length_c 4.9844
_cell_angle_alpha 90.00
_cell_angle_beta 90.00
_cell_angle_gamma 90.00
_space_group_name_H-M_alt 'A m m 2'
_space_group_IT_number 38
loop_
_space_group_symop_operation_xyz
'x,y,z'
'-x,-y,z'
'-x,y,z'
'x,-y,z'
'x,y+1/2,z+1/2'
'-x,-y+1/2,z+1/2'
'-x,y+1/2,z+1/2'
'x,-y+1/2,z+1/2'
loop_
_atom_site_label
_atom_site_type_symbol
_atom_site_fract_x
_atom_site_fract_y
_atom_site_fract_z
Pu1 Pu 0.1293 0.0000 0.0000
As1 As 0.0000 0.0000 0.5003
As2 As 0.5000 0.0000 0.8268
Pb1 Pb 0.3297 0.0000 0.4585
```

Crystal system: orthorhombic
M_tot: 23.3 μB per cell
Electronic total energy: -93.26 eV/cell
ΔE_f: -20.1 kJ per mole of atoms

10.
This record from Alexandria via LeMat-Bulk describes a relaxed structure of Pr12Tl5Sn2. The functional is GGA-PBE.

```
data_Pr12Tl5Sn2
_chemical_formula_sum 'Pr24 Tl10 Sn4'
_cell_length_a 18.7174
_cell_length_b 7.1880
_cell_length_c 9.5628
_cell_angle_alpha 90.00
_cell_angle_beta 91.09
_cell_angle_gamma 90.00
_space_group_name_H-M_alt 'C 1 2/m 1'
_space_group_IT_number 12
loop_
_space_group_symop_operation_xyz
'x,y,z'
'-x,-y,-z'
'-x,y,-z'
'x,-y,z'
'x+1/2,y+1/2,z'
'-x+1/2,-y+1/2,-z'
'-x+1/2,y+1/2,-z'
'x+1/2,-y+1/2,z'
loop_
_atom_site_label
_atom_site_type_symbol
_atom_site_fract_x
_atom_site_fract_y
_atom_site_fract_z
Pr1 Pr 0.0166 0.0000 0.3062
Pr2 Pr 0.0609 0.5000 0.2047
Pr3 Pr 0.1508 0.2527 0.5275
Pr4 Pr 0.1648 0.2487 0.9367
Tl1 Tl 0.0000 0.5000 0.5000
Tl2 Tl 0.2067 0.0000 0.2490
Tl3 Tl 0.2322 0.5000 0.2634
Sn1 Sn 0.0000 0.1996 0.0000
```

Crystal system: monoclinic
M_tot: 2.9 μB per cell
Electronic total energy: -162.44 eV/cell
ΔE_f: -20.5 kJ per mole of atoms

11.
This record from Alexandria via LeMat-Bulk describes a relaxed structure of Sr2CO. The functional is GGA-PBE.

```
data_Sr2CO
_chemical_formula_sum 'Sr8 C4 O4'
_cell_length_a 6.5902
_cell_length_b 6.5902
_cell_length_c 8.4275
_cell_angle_alpha 90.00
_cell_angle_beta 90.00
_cell_angle_gamma 90.00
_space_group_name_H-M_alt 'I -4 2 d'
_space_group_IT_number 122
_space_group_name_Hall 'I -4 2bw'
loop_
_atom_site_label
_atom_site_type_symbol
_atom_site_fract_x
_atom_site_fract_y
_atom_site_fract_z
Sr1 Sr 0.2165 0.7500 0.1250
C1 C 0.0000 0.0000 0.5000
O1 O 0.0000 0.0000 0.0000
```

Crystal system: tetragonal
Formation energy without anion corrections: -0.548 eV per atom
E above lowest polymorph: 0.0 kJ/mol of atoms
M_tot: 8.0 μB per cell
Electronic total energy: -78.95 eV/cell

12.
This record from Alexandria via LeMat-Bulk describes a relaxed structure of TbMnSi3. The functional is GGA-PBE.

```
data_TbMnSi3
_chemical_formula_sum 'Tb2 Mn2 Si6'
_cell_length_a 4.1013
_cell_length_b 4.1013
_cell_length_c 9.7695
_cell_angle_alpha 90.00
_cell_angle_beta 90.00
_cell_angle_gamma 90.00
_space_group_name_H-M_alt 'I 4 m m'
_space_group_IT_number 107
_space_group_name_Hall 'I 4 -2'
loop_
_atom_site_label
_atom_site_type_symbol
_atom_site_fract_x
_atom_site_fract_y
_atom_site_fract_z
Tb1 Tb 0.0000 0.0000 0.0000
Mn1 Mn 0.0000 0.0000 0.6597
Si1 Si 0.0000 0.0000 0.4318
Si2 Si 0.0000 0.5000 0.2578
```

Crystal system: tetragonal
Formation energy without anion corrections: -0.470 eV per atom
M_tot: 0.0 μB per cell
Electronic total energy: -64.84 eV/cell

13.
This record from Alexandria via LeMat-Bulk describes a relaxed structure of CeGa2Pd. The functional is GGA-PBE.

```
data_CeGa2Pd
_chemical_formula_sum 'Ce1 Ga2 Pd1'
_cell_length_a 4.1686
_cell_length_b 4.1686
_cell_length_c 4.6028
_cell_angle_alpha 90.00
_cell_angle_beta 90.00
_cell_angle_gamma 90.00
_space_group_name_H-M_alt 'P 4/m m m'
_space_group_IT_number 123
_space_group_name_Hall '-P 4 2'
loop_
_atom_site_label
_atom_site_type_symbol
_atom_site_fract_x
_atom_site_fract_y
_atom_site_fract_z
Ce1 Ce 0.0000 0.0000 0.0000
Ga1 Ga 0.0000 0.5000 0.5000
Pd1 Pd 0.5000 0.5000 0.0000
```

Crystal system: tetragonal
M_tot: 0.4 μB per cell
Electronic total energy: -19.19 eV/cell
ΔE_f: -48.4 kJ per mole of atoms